# 1
# KBa2Sb2 PBE-GGA relaxed
# E_form (uncorrected) in eV/atom: -0.572
# Excess energy over the best structure of this formula in the dataset in meV per atom: 238
# Fermi-level density of states in states/eV per cell: 5.9
data_KBa2Sb2
_chemical_formula_sum 'K2 Ba4 Sb4'
_symmetry_space_group_name_H-M 'I 4/m m m'
_symmetry_Int_Tables_number 139
_symmetry_space_group_name_Hall '-I 4 2'
_cell_length_a 5.846
_cell_length_b 5.846
_cell_length_c 14.060
_cell_angle_alpha 90.00
_cell_angle_beta 90.00
_cell_angle_gamma 90.00
loop_
_atom_site_label
_atom_site_type_symbol
_atom_site_fract_x
_atom_site_fract_y
_atom_site_fract_z
_atom_site_occupancy
K1 K 0.000 0.000 0.000 1
Ba1 Ba 0.000 0.500 0.250 1
Sb1 Sb 0.000 0.000 0.388 1

# 2
# Mg3CuB PBE-GGA relaxed
# Calculated formation energy in kJ per mole of atoms: 28
# Excess energy over the best structure of this formula in the dataset in meV per atom: 0
# Fermi-level density of states in states/eV per cell: 1.7
data_Mg3CuB
_chemical_formula_sum 'Mg3 Cu1 B1'
_symmetry_space_group_name_H-M 'P m -3 m'
_symmetry_Int_Tables_number 221
_symmetry_space_group_name_Hall '-P 4 2 3'
_cell_length_a 4.498
_cell_length_b 4.498
_cell_length_c 4.498
_cell_angle_alpha 90.00
_cell_angle_beta 90.00
_cell_angle_gamma 90.00
loop_
_atom_site_label
_atom_site_type_symbol
_atom_site_fract_x
_atom_site_fract_y
_atom_site_fract_z
_atom_site_occupancy
Mg1 Mg 0.000 0.000 0.500 1
Cu1 Cu 0.500 0.500 0.500 1
B1 B 0.000 0.000 0.000 1

# 3
# CsPaS2 PBE-GGA relaxed
# E_form (uncorrected) in eV/atom: -1.406
# Fermi-level density of states in states/eV per cell: 15.0
data_CsPaS2
_chemical_formula_sum 'Cs3 Pa3 S6'
_symmetry_space_group_name_H-M 'R 3 m'
_symmetry_Int_Tables_number 160
_symmetry_space_group_name_Hall 'R 3 -2"'
_cell_length_a 4.0464
_cell_length_b 4.0464
_cell_length_c 24.9911
_cell_angle_alpha 90.00
_cell_angle_beta 90.00
_cell_angle_gamma 120.00
loop_
_atom_site_label
_atom_site_type_symbol
_atom_site_fract_x
_atom_site_fract_y
_atom_site_fract_z
_atom_site_occupancy
Cs1 Cs 0.0000 0.0000 0.0000 1
Pa1 Pa 0.0000 0.0000 0.1711 1
S1 S 0.0000 0.0000 0.5664 1
S2 S 0.0000 0.0000 0.7755 1

# 4
# TaNiOs2 PBE-GGA relaxed
# Calculated formation energy in kJ per mole of atoms: -9
# Fermi-level density of states in states/eV per cell: 2.8
data_TaNiOs2
_chemical_formula_sum 'Ta1 Ni1 Os2'
_symmetry_space_group_name_H-M 'P m m 2'
_symmetry_Int_Tables_number 25
_cell_length_a 2.782
_cell_length_b 3.821
_cell_length_c 5.453
_cell_angle_alpha 90.00
_cell_angle_beta 90.00
_cell_angle_gamma 90.00
loop_
_symmetry_equiv_pos_as_xyz
'x,y,z'
'-x,-y,z'
'-x,y,z'
'x,-y,z'
loop_
_atom_site_label
_atom_site_type_symbol
_atom_site_fract_x
_atom_site_fract_y
_atom_site_fract_z
_atom_site_occupancy
Ta1 Ta 0.000 0.000 0.000 1
Ni1 Ni 0.500 0.500 0.245 1
Os1 Os 0.000 0.000 0.494 1
Os2 Os 0.500 0.500 0.718 1

# 5
# TlMo2Pt PBE-GGA relaxed
# Calculated formation energy in kJ per mole of atoms: 40
# Excess energy over the best structure of this formula in the dataset in meV per atom: 151
# Fermi-level density of states in states/eV per cell: 7.9
data_TlMo2Pt
_chemical_formula_sum 'Tl2 Mo4 Pt2'
_symmetry_space_group_name_H-M 'C m m m'
_symmetry_Int_Tables_number 65
_symmetry_space_group_name_Hall '-C 2 2'
_cell_length_a 5.468
_cell_length_b 8.844
_cell_length_c 2.847
_cell_angle_alpha 90.00
_cell_angle_beta 90.00
_cell_angle_gamma 90.00
loop_
_atom_site_label
_atom_site_type_symbol
_atom_site_fract_x
_atom_site_fract_y
_atom_site_fract_z
_atom_site_occupancy
Tl1 Tl 0.000 0.000 0.000 1
Mo1 Mo 0.250 0.250 0.500 1
Pt1 Pt 0.000 0.500 0.000 1

# 6
# ZrRu3Rh PBE-GGA relaxed
# Calculated formation energy in kJ per mole of atoms: 128
# Excess energy over the best structure of this formula in the dataset in meV per atom: 0
# Fermi-level density of states in states/eV per cell: 9.3
data_ZrRu3Rh
_chemical_formula_sum 'Zr1 Ru3 Rh1'
_symmetry_space_group_name_H-M 'P m -3 m'
_symmetry_Int_Tables_number 221
_symmetry_space_group_name_Hall '-P 4 2 3'
_cell_length_a 4.630
_cell_length_b 4.630
_cell_length_c 4.630
_cell_angle_alpha 90.00
_cell_angle_beta 90.00
_cell_angle_gamma 90.00
loop_
_atom_site_label
_atom_site_type_symbol
_atom_site_fract_x
_atom_site_fract_y
_atom_site_fract_z
_atom_site_occupancy
Zr1 Zr 0.000 0.000 0.000 1
Ru1 Ru 0.000 0.500 0.500 1
Rh1 Rh 0.500 0.500 0.500 1